DFT (PBE) results for a geometry-optimized Fe2HgAs structure.

Cell lengths 8.245, 8.245, 8.245 Å; angles 20.73, 20.73, 20.73 degrees
Site moments in Bohr magnetons follow the coordinates.
Fractional positions:
As 0.750 0.750 0.750  -0.12
Fe 0.010 0.010 0.010  2.21
Fe 0.490 0.490 0.490  2.21
Hg 0.250 0.250 0.250  -0.04

Output
- Crystal system: trigonal
- ΔE_f: 7.78 kcal/mol of atoms
- Space-group type: R-3m (166)


DFT (PBE) results for a geometry-optimized Th4HgSb structure.

Cell lengths 5.808, 5.809, 11.518 Å; angles 104.59, 104.57, 89.95 degrees
Fractional positions:
Th 0.674 0.174 0.849
Th 0.826 0.326 0.151
Th 0.326 0.826 0.151
Th 0.174 0.674 0.849
Th 0.076 0.076 0.652
Th 0.424 0.424 0.348
Th 0.924 0.924 0.348
Th 0.576 0.576 0.652
Hg 0.500 0.000 0.500
Hg 0.000 0.500 0.500
Sb 0.750 0.750 0.000
Sb 0.250 0.250 0.000

Output
- Uncorrected formation energy: -0.235 eV per atom
- Crystal system: monoclinic
- Space-group type: P2/m (10)


DFT (PBE) results for a geometry-optimized VMo6W2 structure.

Cell lengths 2.659, 8.036, 9.162 Å; angles 116.01, 121.35, 90.00 degrees
Fractional positions:
V 0.000 0.000 0.000
Mo 0.640 0.003 0.667
Mo 0.360 0.337 0.333
Mo 0.360 0.997 0.333
Mo 0.500 0.325 0.000
Mo 0.640 0.663 0.667
Mo 0.500 0.675 0.000
W 0.317 0.334 0.667
W 0.683 0.666 0.333

Output
- Crystal system: monoclinic
- ΔE_f: 3.89 kcal/mol of atoms
- Space-group type: C2/m (12)


DFT (PBE) results for a geometry-optimized Nb2MoW structure.

Cell lengths 7.283, 7.283, 5.843 Å; angles 51.44, 51.44, 90.00 degrees
Fractional positions:
Mo 0.500 0.500 0.000
Mo 0.250 0.750 0.500
Nb 0.622 0.125 0.250
Nb 0.128 0.625 0.250
Nb 0.375 0.378 0.750
Nb 0.875 0.872 0.750
W 0.000 0.000 0.000
W 0.750 0.250 0.500

Output
- Crystal system: tetragonal
- ΔE_f: 17.33 kcal/mol of atoms
- Space-group type: I-42d (122)


DFT (PBE) results for a geometry-optimized Pm3Np2Se6 structure.

Cell lengths 4.173, 4.173, 20.458 Å; angles 84.15, 84.15, 60.00 degrees
Site moments in Bohr magnetons follow the coordinates.
Fractional positions:
Pm 0.000 0.000 0.000  -0.04
Pm 0.277 0.277 0.170  0.01
Pm 0.723 0.723 0.830  0.01
Np 0.446 0.446 0.661  3.85
Np 0.554 0.554 0.339  3.85
Se 0.085 0.085 0.745  -0.05
Se 0.915 0.915 0.255  -0.05
Se 0.197 0.197 0.410  -0.11
Se 0.803 0.803 0.590  -0.11
Se 0.362 0.362 0.915  0.00
Se 0.638 0.638 0.085  0.00

Output
- Uncorrected formation energy: -1.505 eV per atom
- Crystal system: trigonal
- Space-group type: R-3m (166)


DFT (PBE) results for a geometry-optimized YPa2WC4 structure.

Cell lengths 3.471, 6.199, 12.593 Å; angles 90.00, 90.00, 106.26 degrees
Fractional positions:
Y 0.109 0.218 0.750
Y 0.891 0.782 0.250
Pa 0.367 0.734 0.539
Pa 0.633 0.266 0.039
Pa 0.633 0.266 0.461
Pa 0.367 0.734 0.961
W 0.842 0.683 0.750
W 0.158 0.317 0.250
C 0.264 0.527 0.128
C 0.736 0.473 0.628
C 0.736 0.473 0.872
C 0.264 0.527 0.372
C 0.000 0.000 0.500
C 0.000 0.000 0.000
C 0.437 0.874 0.750
C 0.563 0.126 0.250

Output
- Crystal system: orthorhombic
- ΔE_f: -2.52 kcal/mol of atoms
- Space-group type: Cmcm (63)


DFT (PBE) results for a geometry-optimized AcLaMgGe structure.

Cell lengths 5.520, 5.520, 5.520 Å; angles 60.00, 60.00, 60.00 degrees
Fractional positions:
Mg 0.750 0.750 0.750
Ac 0.000 0.000 0.000
Ge 0.250 0.250 0.250
La 0.500 0.500 0.500

Output
- Crystal system: cubic
- ΔE_f: -7.54 kcal/mol of atoms
- Space-group type: F-43m (216)


DFT (PBE) results for a geometry-optimized Mg6ZnAg10 structure.

Cell lengths 5.692, 8.006, 8.006 Å; angles 120.00, 90.00, 90.00 degrees
Fractional positions:
Mg 0.685 0.355 0.355
Mg 0.685 0.000 0.645
Mg 0.685 0.645 0.000
Mg 0.315 0.645 0.645
Mg 0.315 0.000 0.355
Mg 0.315 0.355 0.000
Zn 0.500 0.000 0.000
Ag 0.826 0.705 0.705
Ag 0.826 0.000 0.295
Ag 0.826 0.295 0.000
Ag 0.174 0.295 0.295
Ag 0.174 0.000 0.705
Ag 0.174 0.705 0.000
Ag 0.500 0.333 0.667
Ag 0.500 0.667 0.333
Ag 0.000 0.667 0.333
Ag 0.000 0.333 0.667

Output
- Crystal system: trigonal
- ΔE_f: -2.81 kcal/mol of atoms
- Space-group type: P-31m (162)